This record from Alexandria via LeMat-Bulk describes Rb2AcSmTe4 after structural relaxation. The functional is PBE.

Summary:
ΔE_f (raw) (meV/atom): -1440
Total energy (eV for the cell shown): -34.8
DOS(E_F) (states/eV/f.u.): 0.000
Space group: P2/m, No. 10

a = 8.223 Å, b = 4.742 Å, c = 9.008 Å
α = 90.00°, β = 107.62°, γ = 90.00°
Fractional coordinates of all 8 atoms:
1 Rb 0.000 0.000 0.000
2 Rb 0.500 0.500 0.000
3 Ac 0.000 0.500 0.500
4 Sm 0.500 0.000 0.500
5 Te 0.250 0.000 0.710
6 Te 0.277 0.500 0.296
7 Te 0.723 0.500 0.704
8 Te 0.750 0.000 0.290